LaNiS3 PBE optimized geometry; space-group type = Pm-3m (221); M_tot = 3.00 Bohr magnetons per cell; V = 32.40 A^3/atom; energy relative to the lowest polymorph listed for this composition = 1388 meV per atom; formation energy (no corrections) = 0.332 eV per atom
1.0
-0.991 1.609 -5.113
3.461 -3.779 -1.860
-4.093 -3.585 -0.334
S Ni La
3 1 1
Cartesian
-0.496 0.804 -2.557 S
-2.047 -1.792 -0.167 S
1.730 -1.889 -0.930 S
-0.812 -2.877 -3.654 Ni
0.000 0.000 0.000 La



Zn2GaP PBE optimized geometry; space-group type = I-42d (122); M_tot = 0.00 Bohr magnetons per cell; V = 21.72 A^3/atom; energy relative to the lowest polymorph listed for this composition = 0 meV per atom
1.0
-5.876 -1.762 0.932
1.807 -5.933 0.176
-1.423 -3.529 5.014
Zn Ga P
4 2 2
Cartesian
-4.702 -9.132 4.723 Zn
-2.517 -5.780 4.183 Zn
-0.206 -4.884 1.519 Zn
-3.557 -2.651 1.819 Zn
-4.666 -4.569 3.250 Ga
0.000 0.000 0.000 Ga
-0.825 -6.654 2.872 P
-2.034 -3.847 0.554 P



LiPuPdO5 PBE optimized geometry; space-group type = C2/c (15); M_tot = 1.97 Bohr magnetons per cell; V = 13.67 A^3/atom; formation energy (no corrections) = -1.707 eV per atom
1.0
5.638 -0.174 -0.257
-1.812 5.342 -0.257
-1.889 -2.551 7.593
O Li Pd Pu
10 2 2 2
Cartesian
1.498 1.050 0.352 O
2.315 2.153 2.931 O
-1.150 3.502 4.635 O
4.630 1.198 0.839 O
-1.498 4.122 1.641 O
3.087 -0.886 2.444 O
0.439 1.567 6.727 O
-2.693 1.418 6.240 O
-0.378 0.463 4.148 O
3.435 -1.505 5.438 O
-0.989 1.770 5.438 Li
2.926 0.846 1.641 Li
0.115 2.928 1.641 Pd
1.822 -0.311 5.438 Pd
0.000 0.000 0.000 Pu
-0.944 -1.276 3.797 Pu



SmHg3Pd3 PBE optimized geometry; space-group type = Pm-3n (223); M_tot = 0.00 Bohr magnetons per cell; V = 28.40 A^3/atom; VASP energy = -19.045 eV per formula unit
1.0
7.354 0.000 0.000
0.000 7.354 0.000
0.000 0.000 7.354
Pd Hg Sm
6 6 2
Cartesian
5.515 3.677 0.000 Pd
0.000 1.838 3.677 Pd
1.838 3.677 0.000 Pd
3.677 0.000 5.515 Pd
3.677 0.000 1.838 Pd
0.000 5.515 3.677 Pd
0.000 3.677 5.515 Hg
3.677 5.515 0.000 Hg
5.515 0.000 3.677 Hg
3.677 1.838 0.000 Hg
0.000 3.677 1.838 Hg
1.838 0.000 3.677 Hg
0.000 0.000 0.000 Sm
3.677 3.677 3.677 Sm



CsCdOs3 PBE optimized geometry; space-group type = Pm-3m (221); M_tot = 4.08 Bohr magnetons per cell; V = 24.73 A^3/atom; energy relative to the lowest polymorph listed for this composition = 800 meV per atom
1.0
-1.378 -4.504 -1.625
4.788 -1.277 -0.521
0.055 -1.705 4.681
Os Cs Cd
3 1 1
Cartesian
-0.689 -2.252 -0.812 Os
2.394 -0.638 -0.261 Os
0.027 -0.853 2.340 Os
0.000 0.000 0.000 Cs
1.732 -3.743 1.267 Cd



CsCl3F12 PBE optimized geometry; space-group type = R3c (161); M_tot = 2.14 Bohr magnetons per cell; V = 17.85 A^3/atom; formation energy (no corrections) = -0.780 eV per atom
1.0
7.902 -4.708 -0.536
7.902 4.708 -0.536
5.629 0.000 7.295
Cl F Cs
6 24 2
Cartesian
10.794 -4.474 3.508 Cl
12.024 1.926 -0.731 Cl
7.049 2.159 3.064 Cl
9.864 2.549 6.711 Cl
6.936 -1.926 3.452 Cl
7.979 -0.234 -0.139 Cl
14.733 2.301 4.456 F
14.003 1.354 2.454 F
13.683 -2.017 3.556 F
12.848 0.480 -0.169 F
7.760 -0.480 4.015 F
10.214 4.045 2.162 F
4.953 -0.830 3.887 F
8.583 -1.225 1.178 F
11.166 3.003 5.624 F
10.868 -2.691 -0.091 F
10.041 0.830 -0.297 F
14.249 -1.299 6.123 F
13.029 0.663 5.809 F
5.736 2.452 1.189 F
8.951 -3.086 3.456 F
6.137 -1.621 -0.191 F
15.361 -1.002 2.295 F
11.435 -3.409 2.475 F
8.351 1.705 1.976 F
10.273 1.002 6.478 F
11.919 2.407 0.808 F
11.398 -3.483 4.826 F
8.550 2.256 4.837 F
8.915 -1.354 6.638 F
0.157 0.000 0.046 Cs
10.874 0.000 3.157 Cs



Pr3As4Pd4 PBE optimized geometry; space-group type = Immm (71); M_tot = 0.00 Bohr magnetons per cell; V = 20.38 A^3/atom; VASP energy = -65.023 eV per formula unit
1.0
-3.334 -2.722 0.613
0.597 -2.255 -6.764
5.955 -2.652 5.193
Pr As Pd
3 4 4
Cartesian
0.298 -1.127 -3.382 Pr
2.021 -6.287 -1.510 Pr
1.197 -1.341 0.553 Pr
2.272 -3.339 -2.471 As
-1.186 -3.179 -5.147 As
-1.551 -1.798 -1.004 As
0.946 -4.289 1.513 As
0.312 -4.685 -3.687 Pd
3.141 -3.832 0.063 Pd
0.077 -3.796 -1.021 Pd
2.906 -2.944 2.729 Pd



Ta2CrAg PBE optimized geometry; space-group type = Cmm2 (35); M_tot = 0.00 Bohr magnetons per cell; V = 16.65 A^3/atom; energy relative to the lowest polymorph listed for this composition = 78 meV per atom
1.0
2.786 -0.002 0.000
-0.924 2.629 0.000
0.000 0.000 9.095
Cr Ta Ag
1 2 1
Cartesian
0.931 1.314 6.912 Cr
0.000 0.000 8.912 Ta
0.931 1.314 2.235 Ta
0.000 0.000 4.678 Ag